1.
Computed, not measured: Tb3Nd2Tm6Zr after structural relaxation at the PBE level of DFT.

Geometry as CIF:
```
data_Tb3Nd2Tm6Zr
_chemical_formula_sum 'Tb6 Nd4 Tm12 Zr2'
_cell_length_a 6.085
_cell_length_b 10.528
_cell_length_c 11.584
_cell_angle_alpha 90.00
_cell_angle_beta 100.04
_cell_angle_gamma 90.00
_space_group_name_H-M_alt 'C 1 2/m 1'
_space_group_IT_number 12
loop_
_space_group_symop_operation_xyz
'x,y,z'
'-x,-y,-z'
'-x,y,-z'
'x,-y,z'
'x+1/2,y+1/2,z'
'-x+1/2,-y+1/2,-z'
'-x+1/2,y+1/2,-z'
'x+1/2,-y+1/2,z'
loop_
_atom_site_label
_atom_site_type_symbol
_atom_site_fract_x
_atom_site_fract_y
_atom_site_fract_z
Tb1 Tb 0.000 0.000 0.000
Tb2 Tb 0.000 0.334 0.000
Nd1 Nd 0.000 0.167 0.500
Tm1 Tm 0.244 0.500 0.253
Tm2 Tm 0.245 0.337 0.747
Zr1 Zr 0.000 0.500 0.500
```

## Properties
Uncorrected energy = -4.85 eV/atom
Spin magnetization = 0.00 Bohr magnetons per cell

***

2.
Computed, not measured: Sc2BeGeCl after structural relaxation at the PBE level of DFT.

Geometry as CIF:
```
data_Sc2BeGeCl
_chemical_formula_sum 'Sc2 Be1 Ge1 Cl1'
_cell_length_a 5.170
_cell_length_b 5.170
_cell_length_c 5.042
_cell_angle_alpha 90.00
_cell_angle_beta 90.00
_cell_angle_gamma 90.00
_space_group_name_H-M_alt 'P 4/m m m'
_space_group_IT_number 123
_space_group_name_Hall '-P 4 2'
loop_
_atom_site_label
_atom_site_type_symbol
_atom_site_fract_x
_atom_site_fract_y
_atom_site_fract_z
Sc1 Sc 0.000 0.500 0.000
Be1 Be 0.000 0.000 0.500
Ge1 Ge 0.500 0.500 0.000
Cl1 Cl 0.500 0.500 0.500
```

## Properties
Spin magnetization = 0.00 Bohr magnetons per cell
E_form (uncorrected) = 0.514 eV per atom

***

3.
Computed, not measured: Rb3MgAg2F6 after structural relaxation at the PBE level of DFT.

Geometry as CIF:
```
data_Rb3MgAg2F6
_chemical_formula_sum 'Rb3 Mg1 Ag2 F6'
_cell_length_a 6.1239
_cell_length_b 6.1239
_cell_length_c 7.2097
_cell_angle_alpha 90.00
_cell_angle_beta 90.00
_cell_angle_gamma 120.00
_space_group_name_H-M_alt 'P -3 m 1'
_space_group_IT_number 164
_space_group_name_Hall '-P 3 2"'
loop_
_atom_site_label
_atom_site_type_symbol
_atom_site_fract_x
_atom_site_fract_y
_atom_site_fract_z
Rb1 Rb 0.0000 0.0000 0.0000
Rb2 Rb 0.3333 0.6667 0.6283
Mg1 Mg 0.0000 0.0000 0.5000
Ag1 Ag 0.3333 0.6667 0.1335
F1 F 0.1539 0.3077 0.3316
```

## Properties
Spin magnetization = 0.00 Bohr magnetons per cell
E_form (uncorrected) = -2.208 eV per atom